# 1
Below is a relaxed structure of YIn3Au3, with properties calculated at the PBE level.

Output
SG: Pm-3n
Calculated total energy, eV per atom: -3.36
Formation enthalpy at 0 K, eV/atom: 0.143

Lattice parameters (Å, degrees): 7.4936 7.4936 7.4936 90.00 90.00 90.00
Closest atoms and distances in Å follow each position.
Atoms (fractional coordinates):
Au (0.5000, 0.0000, 0.7500)  4 In 2.65
Au (0.0000, 0.7500, 0.5000)  4 In 2.65
Y (0.0000, 0.0000, 0.0000)  12 In 4.19, 12 Au 4.19
In (0.7500, 0.0000, 0.5000)  4 Au 2.65
In (0.5000, 0.7500, 0.0000)  4 Au 2.65
Au (0.7500, 0.5000, 0.0000)  4 In 2.65
In (0.5000, 0.2500, 0.0000)  4 Au 2.65
Au (0.5000, 0.0000, 0.2500)  4 In 2.65
Y (0.5000, 0.5000, 0.5000)  12 In 4.19, 12 Au 4.19
In (0.2500, 0.0000, 0.5000)  4 Au 2.65
Au (0.0000, 0.2500, 0.5000)  4 In 2.65
In (0.0000, 0.5000, 0.7500)  4 Au 2.65
Au (0.2500, 0.5000, 0.0000)  4 In 2.65
In (0.0000, 0.5000, 0.2500)  4 Au 2.65

---

# 2
Below is a relaxed structure of TaNCl2, with properties calculated at the PBE level.

Output
SG: R-3m
Calculated total energy, eV per atom: -5.04
Formation energy without anion corrections, eV per atom: 0.93
Energy relative to the lowest polymorph listed for this composition, meV/atom: 1480.1

Lattice parameters (Å, degrees): 9.6117 9.6117 9.6117 18.64 18.64 18.64
Closest atoms and distances in Å follow each position.
Atoms (fractional coordinates):
Cl (0.1033, 0.1033, 0.1033)  3 Ta 2.54
Cl (0.8967, 0.8967, 0.8967)  3 Ta 2.54
N (0.0000, 0.0000, 0.0000)  2 Cl 2.93, 6 N 3.11
Ta (0.5000, 0.5000, 0.5000)  6 Cl 2.54

---

# 3
Below is a relaxed structure of NaY3Hf, with properties calculated at the PBE level.

Output
SG: Pm-3m
Calculated total energy, eV per atom: -5.52
Formation enthalpy at 0 K, eV/atom: 0.610

Lattice parameters (Å, degrees): 5.7099 5.7099 5.7099 90.00 90.00 90.00
Closest atoms and distances in Å follow each position.
Atoms (fractional coordinates):
Hf (0.0000, 0.0000, 0.0000)  6 Y 2.85
Y (0.0000, 0.5000, 0.0000)  2 Hf 2.85
Y (0.5000, 0.0000, 0.0000)  2 Hf 2.85
Y (0.0000, 0.0000, 0.5000)  2 Hf 2.85
Na (0.5000, 0.5000, 0.5000)  12 Y 4.04

---

# 4
Below is a relaxed structure of TiNbZn2Br, with properties calculated at the PBE level.

Output
SG: P4/mmm
Calculated total energy, eV per atom: -3.30
Formation energy without anion corrections, eV per atom: 1.14
Energy relative to the lowest polymorph listed for this composition, meV/atom: 219.1

Lattice parameters (Å, degrees): 4.7860 4.6034 4.7860 90.00 90.00 90.00
Closest atoms and distances in Å follow each position.
Atoms (fractional coordinates):
Ti (0.0000, 0.5000, 0.0000)  2 Br 2.30
Zn (0.5000, 0.0000, 0.0000)  2 Br 2.39
Zn (0.0000, 0.0000, 0.5000)  2 Br 2.39
Nb (0.5000, 0.5000, 0.5000)  8 Zn 3.32, 4 Ti 3.38
Br (0.0000, 0.0000, 0.0000)  2 Ti 2.30, 4 Zn 2.39

---

# 5
Below is a relaxed structure of AgPW2, with properties calculated at the PBE level.

Output
SG: Imm2
Calculated total energy, eV per atom: -8.10
Formation enthalpy at 0 K, eV/atom: 0.442
Energy relative to the lowest polymorph listed for this composition, meV/atom: 162.0

Lattice parameters (Å, degrees): 5.3087 5.3087 5.3087 147.11 130.10 61.07
Closest atoms and distances in Å follow each position.
Atoms (fractional coordinates):
W (0.2474, 0.7474, 0.5000)  4 P 2.70, 2 Ag 2.93, 6 W 2.98-3.01
P (0.7631, 0.2631, 0.5000)  2 W 2.39, 2 Ag 2.66
W (0.9667, 0.9667, 0.0000)  2 P 2.39
Ag (0.5228, 0.5228, 0.0000)  2 P 2.66, 6 W 2.75-2.93

---

# 6
Below is a relaxed structure of In2O2F, with properties calculated at the PBE level.

Output
SG: P4/mbm
Calculated total energy, eV per atom: -4.51
Formation energy without anion corrections, eV per atom: -1.06

Lattice parameters (Å, degrees): 6.5967 6.5967 2.9565 90.00 90.00 90.00
Closest atoms and distances in Å follow each position.
Atoms (fractional coordinates):
In (0.6737, 0.8263, 0.5000)  6 O 2.29-2.55
F (0.5000, 0.5000, 0.0000)  4 O 2.55, 8 In 2.85
O (0.3609, 0.8609, 0.0000)  6 In 2.29-2.55, 2 F 2.55
O (0.1391, 0.3609, 0.0000)  6 In 2.29-2.55, 2 F 2.55
O (0.8609, 0.6391, 0.0000)  6 In 2.29-2.55, 2 F 2.55
F (0.0000, 0.0000, 0.0000)  4 O 2.55, 8 In 2.85
O (0.6391, 0.1391, 0.0000)  6 In 2.29-2.55, 2 F 2.55
In (0.8263, 0.3263, 0.5000)  6 O 2.29-2.55
In (0.3263, 0.1737, 0.5000)  6 O 2.29-2.55
In (0.1737, 0.6737, 0.5000)  6 O 2.29-2.55

---

# 7
Below is a relaxed structure of Ti3MnBi, with properties calculated at the PBE level.

Output
SG: Pm-3m
Calculated total energy, eV per atom: -7.18
Formation enthalpy at 0 K, eV/atom: 0.168
Energy relative to the lowest polymorph listed for this composition, meV/atom: 0.0

Lattice parameters (Å, degrees): 4.5672 4.5672 4.5672 90.00 90.00 90.00
Closest atoms and distances in Å follow each position.
Atoms (fractional coordinates):
Ti (0.5000, 0.0000, 0.0000)  2 Mn 2.28
Bi (0.5000, 0.5000, 0.5000)  12 Ti 3.23
Ti (0.0000, 0.5000, 0.0000)  2 Mn 2.28
Mn (0.0000, 0.0000, 0.0000)  6 Ti 2.28
Ti (0.0000, 0.0000, 0.5000)  2 Mn 2.28

---

# 8
Below is a relaxed structure of KInICl, with properties calculated at the PBE level.

Output
SG: F-43m
Calculated total energy, eV per atom: -2.89
Formation energy without anion corrections, eV per atom: -1.08
Energy relative to the lowest polymorph listed for this composition, meV/atom: 44.3

Lattice parameters (Å, degrees): 5.7884 5.7884 5.7884 60.00 60.00 60.00
Closest atoms and distances in Å follow each position.
Atoms (fractional coordinates):
Cl (0.5000, 0.5000, 0.5000)  4 In 3.54, 4 K 3.54
I (0.0000, 0.0000, 0.0000)  4 In 3.54, 4 K 3.54
In (0.2500, 0.2500, 0.2500)  4 Cl 3.54, 4 I 3.54
K (0.7500, 0.7500, 0.7500)  4 Cl 3.54, 4 I 3.54

---

# 9
Below is a relaxed structure of Ca2PuNpAs4, with properties calculated at the PBE level.

Output
SG: P2/m
Calculated total energy, eV per atom: -7.19
Formation enthalpy at 0 K, eV/atom: -0.955

Lattice parameters (Å, degrees): 4.2006 7.2637 7.2235 109.62 90.00 90.00
Closest atoms and distances in Å follow each position.
Atoms (fractional coordinates):
Np (0.0000, 0.0000, 0.0000)  6 As 2.86-2.87
Ca (0.5000, 0.0000, 0.5000)  6 As 3.01-3.03
As (0.0000, 0.7468, 0.2293)  1 Np 2.86, 2 Pu 2.89, 3 Ca 3.03-3.06
As (0.5000, 0.2391, 0.2303)  2 Np 2.87, 1 Pu 2.91, 3 Ca 3.01-3.05
As (0.0000, 0.2532, 0.7707)  1 Np 2.86, 2 Pu 2.89, 3 Ca 3.03-3.06
Ca (0.0000, 0.5000, 0.5000)  6 As 3.05-3.06
As (0.5000, 0.7609, 0.7697)  2 Np 2.87, 1 Pu 2.91, 3 Ca 3.01-3.05
Pu (0.5000, 0.5000, 0.0000)  6 As 2.89-2.91

---

# 10
Below is a relaxed structure of Pa3TiSe2O6, with properties calculated at the PBE level.

Output
SG: C2/m
Calculated total energy, eV per atom: -8.70
Formation energy without anion corrections, eV per atom: -2.61

Lattice parameters (Å, degrees): 5.6388 7.4452 7.0697 121.77 76.96 90.00
Closest atoms and distances in Å follow each position.
Atoms (fractional coordinates):
Ti (0.5000, 0.0000, 0.0000)  2 O 1.99
O (0.7251, 0.7830, 0.1544)  2 Pa 2.15-2.20
O (0.5901, 0.8283, 0.6567)  1 Ti 1.99, 2 Pa 2.21
O (0.2749, 0.6286, 0.8456)  2 Pa 2.15-2.20
O (0.2749, 0.2170, 0.8456)  2 Pa 2.15-2.20
O (0.4099, 0.1717, 0.3433)  1 Ti 1.99, 2 Pa 2.21
O (0.7251, 0.3714, 0.1544)  2 Pa 2.15-2.20
Pa (0.5000, 0.5000, 0.5000)  4 O 2.15-2.21
Pa (0.0000, 0.5000, 0.0000)  4 O 2.20
Se (0.8573, 0.2894, 0.5788)  3 Pa 2.85-2.87, 1 O 3.06
Pa (0.5000, 0.0000, 0.5000)  4 O 2.15-2.21
Se (0.1427, 0.7106, 0.4212)  3 Pa 2.85-2.87, 1 O 3.06

---

# 11
Below is a relaxed structure of La3Hg4Pt4, with properties calculated at the PBE level.

Output
SG: Immm
Calculated total energy, eV per atom: -4.37
Formation enthalpy at 0 K, eV/atom: -0.720

Lattice parameters (Å, degrees): 4.1770 8.1641 8.9481 117.14 103.50 90.00
Closest atoms and distances in Å follow each position.
Atoms (fractional coordinates):
Pt (0.7689, 0.2689, 0.5378)  6 Hg 2.80-2.94, 2 La 3.06
Hg (0.3322, 0.5270, 0.6644)  4 Pt 2.76-2.94
Hg (0.3322, 0.1374, 0.6644)  4 Pt 2.76-2.94
Pt (0.2311, 0.7311, 0.4622)  6 Hg 2.80-2.94, 2 La 3.06
La (0.0000, 0.5000, 0.0000)  6 Pt 3.32-3.55, 8 Hg 3.68
Pt (0.5000, 0.8161, 0.0000)  2 Hg 2.76, 1 Pt 3.00
Pt (0.5000, 0.1839, 0.0000)  2 Hg 2.76, 1 Pt 3.00
Hg (0.6678, 0.4730, 0.3356)  4 Pt 2.76-2.94
Hg (0.6678, 0.8626, 0.3356)  4 Pt 2.76-2.94
La (0.1233, 0.1233, 0.2466)  6 Pt 3.06-3.19, 4 Hg 3.32
La (0.8767, 0.8767, 0.7534)  6 Pt 3.06-3.19, 4 Hg 3.32

---

# 12
Below is a relaxed structure of Cs2NaAl3F12, with properties calculated at the PBE level.

Output
SG: R-3m
Calculated total energy, eV per atom: -5.42
Formation energy without anion corrections, eV per atom: -3.38

Lattice parameters (Å, degrees): 7.4187 7.4187 7.4187 57.56 57.56 57.56
Closest atoms and distances in Å follow each position.
Atoms (fractional coordinates):
F (0.7028, 0.0777, 0.7028)  2 Al 1.86
F (0.6173, 0.0850, 0.0850)  1 Al 1.78
F (0.2972, 0.9223, 0.2972)  2 Al 1.86
F (0.2972, 0.2972, 0.9223)  2 Al 1.86
F (0.9150, 0.3827, 0.9150)  1 Al 1.78
F (0.3827, 0.9150, 0.9150)  1 Al 1.78
F (0.0777, 0.7028, 0.7028)  2 Al 1.86
Al (0.0000, 0.5000, 0.0000)  6 F 1.78-1.86
Na (0.0000, 0.0000, 0.0000)  6 F 2.33
F (0.0850, 0.0850, 0.6173)  1 Al 1.78
Al (0.0000, 0.0000, 0.5000)  6 F 1.78-1.86
F (0.9223, 0.2972, 0.2972)  2 Al 1.86
Al (0.5000, 0.0000, 0.0000)  6 F 1.78-1.86
F (0.9150, 0.9150, 0.3827)  1 Al 1.78
Cs (0.6230, 0.6230, 0.6230)  6 F 3.05-3.37
Cs (0.3770, 0.3770, 0.3770)  6 F 3.05-3.37
F (0.7028, 0.7028, 0.0777)  2 Al 1.86
F (0.0850, 0.6173, 0.0850)  1 Al 1.78